[1]
# NaPaAg2Te4

Crystalline NaPaAg2Te4 at its relaxed geometry (GGA-PBE, Alexandria via LeMat-Bulk).

The energy relative to the elements, uncorrected is -0.380 eV per atom. The density of states at the Fermi level comes out at 0.01 states/eV/f.u.

The structure belongs to space group I222 (No. 23); the cell edges are 7.4300, 8.0954 and 8.4080 Å and the angles 90.00°, 90.00° and 90.00°. Symmetry generates all atoms from Na at (0.0000, 0.0000, 0.0000), Pa at (0.0000, 0.5000, 0.0000), Ag at (0.0000, 0.1762, 0.5000) and Te at (0.2167, 0.2808, 0.7955).

=====

[2]
# NaAg2Pb2

Crystalline NaAg2Pb2 at its relaxed geometry (GGA-PBE, Alexandria via LeMat-Bulk).

The formation energy from the elements comes out at 2.5 kJ per mole of atoms. The density of states at the Fermi level comes out at 1.91 states/eV/f.u. The value obtained for the excess energy over the best structure of this formula in the dataset is 2.6 kJ/mol of atoms.

The structure belongs to space group P4/mbm (No. 127); the cell edges are 8.7976, 8.7976 and 3.3465 Å and the angles 90.00°, 90.00° and 90.00°. Symmetry generates all atoms from Na at (0.0000, 0.0000, 0.0000), Ag at (0.1516, 0.3484, 0.5000) and Pb at (0.1448, 0.6448, 0.0000).

=====

[3]
# NaAg2Pb

Crystalline NaAg2Pb at its relaxed geometry (GGA-PBE, Alexandria via LeMat-Bulk).

The formation energy from the elements comes out at 2.3 kJ per mole of atoms. The density of states at the Fermi level comes out at 1.59 states/eV/f.u.

The structure belongs to space group P2_1/m (No. 11); the cell edges are 4.9807, 7.9546 and 5.8450 Å and the angles 90.00°, 115.10° and 90.00°. Symmetry generates all atoms from Na at (0.0667, 0.2500, 0.1352), Ag at (0.2358, 0.5764, 0.4714) and Pb at (0.3749, 0.2500, 0.7506).

=====

| no. | total DFT energy (no corrections) (eV per atom) |
| --- | --- |
| 1 | -4.016 |
| 2 | -2.861 |
| 3 | -2.659 |